This record from the Open Quantum Materials Database describes a relaxed AlInTc crystal. The functional is PBE.

Cell lengths 4.385, 4.385, 4.385 Å; angles 60.00, 60.00, 60.00 degrees
Sites, in units of the cell vectors:
Al 0.000 0.000 0.000
In 0.500 0.500 0.500
Tc 0.250 0.250 0.250

The space group is F-43m. The total energy is -5.28 eV/atom. For the spin magnetization, the calculation gives 0.08 μB per formula unit.